A plane-wave DFT calculation with PBE was carried out for a relaxed MgPAu crystal.

As for the formation energy: -0.101 eV/atom. The symmetry is P6_3/mmc, No. 194. The value obtained for the volume is 17.6 A^3/atom.

abc: 4.6976 4.6976 5.5388
angles: 90.00 90.00 120.00
Closest atoms and distances in Å follow each position.
Atoms (fractional coordinates):
Mg 0.3333 0.6667 0.2500  5 P 2.71-2.77
Mg 0.6667 0.3333 0.7500  5 P 2.71-2.77
P 0.3333 0.6667 0.7500  5 Mg 2.71-2.77
P 0.6667 0.3333 0.2500  5 Mg 2.71-2.77
Au 0.0000 0.0000 0.0000  2 Au 2.77, 6 Mg 3.05, 6 P 3.05
Au 0.0000 0.0000 0.5000  2 Au 2.77, 6 Mg 3.05, 6 P 3.05